! NpMnVTc (GGA-PBE, optimized geometry); values from VASP
! V: 61 Å³/cell
! SG: F-43m
! final energy: -0.7529 Ry/atom
! formation enthalpy at 0 K: 0.16 eV/atom
&SYSTEM
  ibrav = 0, nat = 4, ntyp = 4
/
ATOMIC_SPECIES
Np 237.00 Np.upf
Mn 54.94 Mn.upf
Tc 98.00 Tc.upf
V 50.94 V.upf
CELL_PARAMETERS angstrom
-0.772 -2.959 -3.191
0.488 -4.315 0.822
-3.551 -2.621 0.229
ATOMIC_POSITIONS crystal
Np 0.750 0.750 0.750
Mn 0.000 0.000 0.000
Tc 0.500 0.500 0.500
V 0.250 0.250 0.250

! LaMgIr2 (GGA-PBE, optimized geometry); values from VASP
! V: 77 Å³/cell
! SG: P2/m
! final energy: -0.4705 Ry/atom
! formation enthalpy at 0 K: -0.34 eV/atom
&SYSTEM
  ibrav = 0, nat = 4, ntyp = 3
/
ATOMIC_SPECIES
Ir 192.22 Ir.upf
La 138.91 La.upf
Mg 24.30 Mg.upf
CELL_PARAMETERS angstrom
-0.741 -3.148 1.750
2.969 -1.099 -0.719
5.221 1.429 4.780
ATOMIC_POSITIONS crystal
Ir 0.000 0.034 0.967
Ir 0.000 0.466 0.533
La 0.500 0.250 0.250
Mg 0.500 0.750 0.750

! PrIn2Pt2 (GGA-PBE, optimized geometry); values from VASP
! V: 432 Å³/cell
! SG: P2_1/m
! final energy: -0.3866 Ry/atom
! formation enthalpy at 0 K: -0.79 eV/atom
&SYSTEM
  ibrav = 0, nat = 20, ntyp = 3
/
ATOMIC_SPECIES
Pr 140.91 Pr.upf
In 114.82 In.upf
Pt 195.08 Pt.upf
CELL_PARAMETERS angstrom
4.520 0.000 0.000
0.000 10.363 0.012
0.000 4.691 9.236
ATOMIC_POSITIONS crystal
Pr 0.250 0.951 0.790
Pr 0.750 0.049 0.210
Pr 0.250 0.598 0.710
Pr 0.750 0.402 0.290
In 0.250 0.354 0.554
In 0.750 0.646 0.446
In 0.250 0.119 0.424
In 0.750 0.881 0.576
In 0.250 0.227 0.897
In 0.750 0.773 0.103
In 0.250 0.594 0.040
In 0.750 0.406 0.960
Pt 0.250 0.624 0.297
Pt 0.750 0.376 0.703
Pt 0.250 0.844 0.418
Pt 0.750 0.156 0.582
Pt 0.250 0.295 0.131
Pt 0.750 0.705 0.869
Pt 0.250 0.930 0.102
Pt 0.750 0.070 0.898

! Rb2LiSmF6 (GGA-PBE, optimized geometry); values from VASP
! V: 339 Å³/cell
! SG: C2/m
! final energy: -0.3884 Ry/atom
&SYSTEM
  ibrav = 0, nat = 20, ntyp = 4
/
ATOMIC_SPECIES
Rb 85.47 Rb.upf
Li 6.94 Li.upf
Sm 150.36 Sm.upf
F 19.00 F.upf
CELL_PARAMETERS angstrom
6.212 0.000 -0.019
0.000 6.211 0.000
0.027 0.000 8.787
ATOMIC_POSITIONS crystal
Rb 0.000 0.000 0.250
Rb 0.500 0.500 0.750
Rb 0.000 0.000 0.750
Rb 0.500 0.500 0.250
Li 0.500 0.000 0.500
Li 0.000 0.500 0.000
Sm 0.500 0.000 0.000
Sm 0.000 0.500 0.500
F 0.244 0.744 0.001
F 0.744 0.756 0.501
F 0.756 0.256 0.999
F 0.256 0.244 0.499
F 0.256 0.756 0.499
F 0.756 0.744 0.999
F 0.744 0.244 0.501
F 0.244 0.256 0.001
F 0.998 0.500 0.244
F 0.498 0.000 0.744
F 0.002 0.500 0.756
F 0.502 0.000 0.256

! SrAsOs2 (GGA-PBE, optimized geometry); values from VASP
! V: 74 Å³/cell
! SG: Pmmm
! final energy: -0.4663 Ry/atom
! formation enthalpy at 0 K: 0.85 eV/atom
&SYSTEM
  ibrav = 0, nat = 4, ntyp = 3
/
ATOMIC_SPECIES
Sr 87.62 Sr.upf
As 74.92 As.upf
Os 190.23 Os.upf
CELL_PARAMETERS angstrom
-2.355 1.572 -0.522
-1.817 -1.294 4.300
2.330 4.239 2.261
ATOMIC_POSITIONS crystal
Sr 0.500 0.000 0.500
As 0.000 0.500 0.500
Os 0.000 0.000 0.000
Os 0.500 0.500 0.000

! ZnSi2HgPd (GGA-PBE, optimized geometry); values from VASP
! V: 120 Å³/cell
! SG: P4/mmm
! final energy: -0.1740 Ry/atom
&SYSTEM
  ibrav = 0, nat = 5, ntyp = 4
/
ATOMIC_SPECIES
Zn 65.41 Zn.upf
Si 28.09 Si.upf
Hg 200.59 Hg.upf
Pd 106.42 Pd.upf
CELL_PARAMETERS angstrom
-4.186 -1.736 -2.085
1.383 -4.522 0.989
-2.307 0.260 4.415
ATOMIC_POSITIONS crystal
Zn 0.000 0.500 0.000
Si 0.000 0.000 0.500
Si 0.500 0.000 0.000
Hg 0.000 0.000 0.000
Pd 0.500 0.500 0.500

! Cs2NaF (GGA-PBE, optimized geometry); values from VASP
! E above lowest polymorph: 151 kJ/mol of formula units
! V: 192 Å³/cell
! SG: Fm-3m
! final energy: -0.1546 Ry/atom
&SYSTEM
  ibrav = 0, nat = 4, ntyp = 3
/
ATOMIC_SPECIES
Cs 132.91 Cs.upf
Na 22.99 Na.upf
F 19.00 F.upf
CELL_PARAMETERS angstrom
4.307 -2.075 4.366
-1.852 -4.039 4.709
1.964 -6.169 -0.068
ATOMIC_POSITIONS crystal
Cs 0.250 0.250 0.250
Cs 0.750 0.750 0.750
Na 0.500 0.500 0.500
F 0.000 0.000 0.000

! LiMg4As (GGA-PBE, optimized geometry); values from VASP
! V: 137 Å³/cell
! SG: F-43m
! final energy: -0.1502 Ry/atom
! formation enthalpy at 0 K: 0.11 eV/atom
&SYSTEM
  ibrav = 0, nat = 6, ntyp = 3
/
ATOMIC_SPECIES
Li 6.94 Li.upf
Mg 24.30 Mg.upf
As 74.92 As.upf
CELL_PARAMETERS angstrom
-0.718 -0.865 5.674
0.177 4.481 3.654
-4.840 1.796 2.610
ATOMIC_POSITIONS crystal
Li 0.000 0.000 0.000
Mg 0.874 0.375 0.375
Mg 0.375 0.375 0.874
Mg 0.375 0.874 0.375
Mg 0.375 0.375 0.375
As 0.750 0.750 0.750

! AlTeW2 (GGA-PBE, optimized geometry); values from VASP
! E above lowest polymorph: 183 kJ/mol of formula units
! V: 71 Å³/cell
! SG: Cmmm
! final energy: -0.5462 Ry/atom
&SYSTEM
  ibrav = 0, nat = 4, ntyp = 3
/
ATOMIC_SPECIES
Te 127.60 Te.upf
Al 26.98 Al.upf
W 183.84 W.upf
CELL_PARAMETERS angstrom
-1.041 -2.427 1.142
1.650 -0.692 -2.253
7.251 -0.533 5.475
ATOMIC_POSITIONS crystal
Te 0.500 0.500 0.750
Al 0.500 0.500 0.250
W 0.000 0.000 0.022
W 0.000 0.000 0.478

! Ba3EuAg (GGA-PBE, optimized geometry); values from VASP
! V: 283 Å³/cell
! SG: Pm-3m
! final energy: -0.2787 Ry/atom
! formation enthalpy at 0 K: -0.01 eV/atom
&SYSTEM
  ibrav = 0, nat = 5, ntyp = 3
/
ATOMIC_SPECIES
Eu 151.96 Eu.upf
Ba 137.33 Ba.upf
Ag 107.87 Ag.upf
CELL_PARAMETERS angstrom
-3.242 3.682 -4.364
-5.500 -3.363 1.249
-1.535 4.272 4.745
ATOMIC_POSITIONS crystal
Eu 0.500 0.500 0.500
Ba 0.000 0.500 0.000
Ba 0.000 0.000 0.500
Ba 0.500 0.000 0.000
Ag 0.000 0.000 0.000

! BC3 (GGA-PBE, optimized geometry); values from VASP
! E above lowest polymorph: 36 kJ/mol of formula units
! V: 50 Å³/cell
! SG: C2/m
! final energy: -0.6067 Ry/atom
! formation enthalpy at 0 K: 0.33 eV/atom
&SYSTEM
  ibrav = 0, nat = 8, ntyp = 2
/
ATOMIC_SPECIES
B 10.81 B.upf
C 12.01 C.upf
CELL_PARAMETERS angstrom
-1.257 3.601 2.097
-3.419 2.390 1.241
-0.133 -2.477 3.840
ATOMIC_POSITIONS crystal
B 0.779 0.779 0.279
B 0.533 0.533 0.158
C 0.519 0.519 0.512
C 0.327 0.327 0.450
C 0.248 0.248 0.755
C 0.065 0.065 0.683
C 0.986 0.986 0.987
C 0.794 0.794 0.926

! Y6Hg5Rh (GGA-PBE, optimized geometry); values from VASP
! V: 299 Å³/cell
! SG: P2/m
! final energy: -0.3331 Ry/atom
! formation enthalpy at 0 K: -0.56 eV/atom
&SYSTEM
  ibrav = 0, nat = 12, ntyp = 3
/
ATOMIC_SPECIES
Y 88.91 Y.upf
Rh 102.91 Rh.upf
Hg 200.59 Hg.upf
CELL_PARAMETERS angstrom
4.930 -0.029 1.653
0.040 7.384 0.013
0.019 -0.015 8.209
ATOMIC_POSITIONS crystal
Y 0.842 0.758 0.317
Y 0.842 0.242 0.317
Y 0.500 0.234 0.000
Y 0.500 0.766 0.000
Y 0.158 0.758 0.683
Y 0.158 0.242 0.683
Rh 0.000 0.000 0.000
Hg 0.669 0.500 0.662
Hg 0.326 0.000 0.349
Hg 0.000 0.500 0.000
Hg 0.674 0.000 0.651
Hg 0.331 0.500 0.338

! MnFeCu (GGA-PBE, optimized geometry); values from VASP
! E above lowest polymorph: 20 kJ/mol of formula units
! V: 35 Å³/cell
! SG: Fmm2
! final energy: -0.5169 Ry/atom
! formation enthalpy at 0 K: 0.21 eV/atom
&SYSTEM
  ibrav = 0, nat = 3, ntyp = 3
/
ATOMIC_SPECIES
Cu 63.55 Cu.upf
Fe 55.84 Fe.upf
Mn 54.94 Mn.upf
CELL_PARAMETERS angstrom
6.479 -0.007 0.006
5.877 2.361 0.014
0.601 -0.638 2.281
ATOMIC_POSITIONS crystal
Cu 0.000 0.000 0.000
Fe 0.669 0.669 0.331
Mn 0.331 0.331 0.669